Below is crystalline YBe2Cu2 at its relaxed geometry, with properties calculated at the PBE-GGA level.

Structure (CIF):
```
data_YBe2Cu2
_cell_length_a 7.1141
_cell_length_b 7.1141
_cell_length_c 2.6787
_cell_angle_alpha 90.00
_cell_angle_beta 90.00
_cell_angle_gamma 90.00
_symmetry_space_group_name_H-M 'P 4/m b m'
_symmetry_Int_Tables_number 127
_symmetry_space_group_name_Hall '-P 4 2ab'
loop_
_atom_site_label
_atom_site_type_symbol
_atom_site_fract_x
_atom_site_fract_y
_atom_site_fract_z
_atom_site_occupancy
Y1 Y 0.0000 0.0000 0.0000 1
Be1 Be 0.1128 0.3872 0.0000 1
Cu1 Cu 0.1687 0.6687 0.5000 1
```

Values from the calculation:
The density of states at the Fermi level is 5.16 states/eV/cell. The offset from the most stable computed form comes out at 0.2208 eV/atom. For the calculated total energy, the calculation gives -4.31 eV per atom.